# 1
VASP calculation (PBE-GGA) on crystalline Ac4CoPBr2 at its relaxed geometry.

Values from the calculation:
Calculated volume = 264.79 Å³/cell
VASP energy = -5.091 eV per atom

POSCAR file:
```
Ac4CoPBr2
1.0
4.204 0.000 0.000
0.000 7.908 0.262
0.000 -2.663 7.877
Br Co Ac P
2 1 4 1
direct
0.500 0.000 0.500
0.000 0.500 0.500
0.500 0.500 0.000
0.000 0.291 0.810
0.500 0.242 0.207
0.000 0.709 0.190
0.500 0.758 0.793
0.000 0.000 0.000
```

---

# 2
VASP calculation (PBE-GGA) on crystalline CrSn3Ru at its relaxed geometry.

Values from the calculation:
Calculated volume = 122.49 Å³/cell
Energy relative to the elements = 89.2 kJ per mole of atoms

POSCAR file:
```
CrSn3Ru
1.0
4.966 0.000 0.000
0.000 4.966 0.000
0.000 0.000 4.966
Cr Sn Ru
1 3 1
direct
0.000 0.000 0.000
0.000 0.000 0.500
0.000 0.500 0.000
0.500 0.000 0.000
0.500 0.500 0.500
```

---

# 3
VASP calculation (PBE-GGA) on crystalline Pm2PrSm9 at its relaxed geometry.

Values from the calculation:
Calculated volume = 408.69 Å³/cell
Energy relative to the elements = 3.9 kJ per mole of atoms

POSCAR file:
```
Pm2PrSm9
1.0
-1.456 0.727 -3.170
-10.468 -1.959 4.361
4.495 10.588 0.362
Sm Pm Pr
9 2 1
direct
0.000 0.500 0.500
0.000 0.000 0.500
0.500 0.825 0.650
0.000 0.500 0.000
0.500 0.825 0.175
0.500 0.175 0.825
0.500 0.650 0.825
0.500 0.175 0.350
0.500 0.350 0.175
0.000 0.667 0.333
0.000 0.333 0.667
0.000 0.000 0.000
```

---

# 4
VASP calculation (PBE-GGA) on crystalline MgVGa2 at its relaxed geometry.

Values from the calculation:
Calculated volume = 66.06 Å³/cell
Energy relative to the elements = -4.2 kJ per mole of atoms

POSCAR file:
```
MgVGa2
1.0
3.253 0.000 0.000
0.000 3.253 0.000
0.000 0.000 6.244
V Mg Ga
1 1 2
direct
0.500 0.500 0.000
0.500 0.500 0.500
0.000 0.000 0.227
0.000 0.000 0.773
```

---

# 5
VASP calculation (PBE-GGA) on crystalline Dy2PuSbN4 at its relaxed geometry.

Values from the calculation:
Calculated volume = 120.80 Å³/cell
VASP energy = -8.538 eV per atom

POSCAR file:
```
Dy2PuSbN4
1.0
-0.028 -3.102 1.622
0.092 -2.804 -5.361
5.672 0.916 1.850
Pu Dy Sb N
1 2 1 4
direct
0.500 0.500 0.000
0.500 0.000 0.500
0.000 0.500 0.500
0.000 0.000 0.000
0.500 0.266 0.259
0.500 0.734 0.741
0.000 0.740 0.253
0.000 0.260 0.747
```

---

# 6
VASP calculation (PBE-GGA) on crystalline CaUAg2S4 at its relaxed geometry.

Values from the calculation:
Calculated volume = 179.27 Å³/cell
VASP energy = -5.467 eV per atom

POSCAR file:
```
CaUAg2S4
1.0
-4.415 -2.764 1.545
2.697 -1.893 4.320
-0.996 7.109 0.320
Ca U Ag S
1 1 2 4
direct
0.500 0.500 0.000
0.750 0.250 0.500
0.000 0.000 0.000
0.250 0.750 0.500
0.530 0.030 0.060
0.264 0.264 0.528
0.970 0.470 0.940
0.736 0.736 0.472
```

---

- Among the records above, which one has the highest calculated volume?
  Pm2PrSm9

---

- Which formula does entry 5 have?
  Dy2PuSbN4

---

- Look up the calculated volume of the sixth one.
  179.27 Å³/cell

---

- Which value of calculated volume does entry 5 give?
  120.80 Å³/cell